(1)
The following is a DFT calculation (PBE-GGA) of an optimized crystal structure of DyPaSe4.

Values from the calculation:
- E: -74.7 eV per cell
- Energy relative to the elements, uncorrected: -9.320 eV per formula unit
- V: 409.5 Å³/cell
- Energy relative to the lowest polymorph listed for this composition: 0.0 meV/atom

Cell: 15.3796 4.1921 7.1172 Å, 90.00 116.83 90.00°
With the nearest neighbours (Å) after each atom.
Space group C2/m (No. 12)
Symmetry-distinct sites (fractional):
Dy  0.0000  0.0000  0.0000 x2  6 Se 2.87-2.89
Pa  0.0000  0.5000  0.5000 x2  6 Se 2.75-2.82
Se  0.1099  0.5000  0.2843 x4  1 Pa 2.75, 2 Dy 2.87
Se  0.1113  0.0000  0.7638 x4  2 Pa 2.82, 1 Dy 2.89

(2)
The following is a DFT calculation (PBE-GGA) of an optimized crystal structure of TcAu2IF.

Values from the calculation:
- E: -15.0 eV per cell
- Energy relative to the elements, uncorrected: 5.344 eV per formula unit
- D(E_F): 3.78 states/eV per cell
- V: 147.2 Å³/cell

Cell: 5.2936 5.2936 5.2534 Å, 90.00 90.00 90.00°
With the nearest neighbours (Å) after each atom.
Space group P4/mmm (No. 123)
Symmetry-distinct sites (fractional):
Tc  0.0000  0.0000  0.0000 x1  2 I 2.63
Au  0.0000  0.5000  0.5000 x2  2 I 2.65
I  0.0000  0.0000  0.5000 x1  2 Tc 2.63, 4 Au 2.65
F  0.5000  0.5000  0.0000 x1  8 Au 3.73, 4 Tc 3.74

(3)
The following is a DFT calculation (PBE-GGA) of an optimized crystal structure of ScCN2O.

Values from the calculation:
- E: -28.2 eV per cell
- Energy relative to the elements, uncorrected: 8.917 eV per formula unit
- D(E_F): 2.09 states/eV per cell
- V: 74.4 Å³/cell

Cell: 4.3069 4.3069 4.0119 Å, 90.00 90.00 90.00°
With the nearest neighbours (Å) after each atom.
Space group P4/mmm (No. 123)
Symmetry-distinct sites (fractional):
Sc  0.0000  0.0000  0.0000 x1  2 O 2.01, 4 N 2.15
C  0.5000  0.5000  0.5000 x1  8 N 2.94, 4 O 3.05
N  0.0000  0.5000  0.0000 x2  2 Sc 2.15
O  0.0000  0.0000  0.5000 x1  2 Sc 2.01

(4)
The following is a DFT calculation (PBE-GGA) of an optimized crystal structure of CaPm3Np2N6.

Values from the calculation:
- E: -215.0 eV per cell
- Energy relative to the elements, uncorrected: -15.406 eV per formula unit
- D(E_F): 22.18 states/eV per cell
- V: 372.6 Å³/cell

Cell: 15.2598 3.5408 7.1046 Å, 90.00 103.89 90.00°
With the nearest neighbours (Å) after each atom.
Space group C2/m (No. 12)
Symmetry-distinct sites (fractional):
Ca  0.0000  0.0000  0.0000 x2  6 N 2.50-2.55
Pm  0.0000  0.0000  0.5000 x2  6 N 2.50-2.57
Pm  0.1652  0.5000  0.8360 x4  6 N 2.47-2.71
Np  0.1662  0.5000  0.3305 x4  6 N 2.20-2.45
N  0.0180  0.5000  0.2641 x4  1 Np 2.20
N  0.1688  0.0000  0.1051 x4  2 Np 2.39, 3 Pm 2.47-2.60, 1 Ca 2.50
N  0.1736  0.0000  0.5729 x4  3 Np 2.38-2.45, 3 Pm 2.57-2.60

(5)
The following is a DFT calculation (PBE-GGA) of an optimized crystal structure of Pu2SbN.

Values from the calculation:
- E: -43.2 eV per cell
- Energy relative to the elements, uncorrected: -2.104 eV per formula unit
- D(E_F): 9.89 states/eV per cell
- V: 78.9 Å³/cell
- Energy relative to the lowest polymorph listed for this composition: 439.8 meV/atom

Cell: 3.1723 3.1723 7.8447 Å, 90.00 90.00 90.00°
With the nearest neighbours (Å) after each atom.
Space group P4/mmm (No. 123)
Symmetry-distinct sites (fractional):
Pu  0.0000  0.0000  0.1826 x2  4 N 2.66, 1 Pu 2.87
Sb  0.5000  0.5000  0.5000 x1  4 Sb 3.17, 8 Pu 3.35
N  0.5000  0.5000  0.0000 x1  8 Pu 2.66

(6)
The following is a DFT calculation (PBE-GGA) of an optimized crystal structure of RbNaZrSc2.

Values from the calculation:
- E: -16.1 eV per cell
- ΔE_f: 1.49 eV/atom
- D(E_F): 3.51 states/eV per cell
- V: 139.0 Å³/cell
- Energy relative to the lowest polymorph listed for this composition: 566.2 meV/atom

Cell: 5.2786 5.2786 4.9904 Å, 90.00 90.00 90.00°
With the nearest neighbours (Å) after each atom.
Space group P4/mmm (No. 123)
Symmetry-distinct sites (fractional):
Rb  0.0000  0.0000  0.0000 x1  2 Na 2.50, 4 Sc 2.64
Na  0.0000  0.0000  0.5000 x1  2 Rb 2.50
Zr  0.5000  0.5000  0.5000 x1  8 Sc 3.63, 4 Na 3.73
Sc  0.0000  0.5000  0.0000 x2  2 Rb 2.64

(7)
The following is a DFT calculation (PBE-GGA) of an optimized crystal structure of Ac4TlRhSe2.

Values from the calculation:
- E: -41.9 eV per cell
- Energy relative to the elements, uncorrected: -8.821 eV per formula unit
- D(E_F): 4.59 states/eV per cell
- V: 271.1 Å³/cell

Cell: 7.8627 4.4487 8.1635 Å, 90.00 108.31 90.00°
With the nearest neighbours (Å) after each atom.
Space group P2/m (No. 10)
Symmetry-distinct sites (fractional):
Ac  0.2253  0.0000  0.2584 x2  1 Rh 3.04, 2 Se 3.19, 2 Tl 3.29
Ac  0.2339  0.5000  0.7338 x2  2 Rh 3.13, 1 Tl 3.24, 3 Se 3.26-3.35
Tl  0.5000  0.5000  0.5000 x1  6 Ac 3.24-3.29
Rh  0.0000  0.0000  0.5000 x1  6 Ac 3.04-3.13
Se  0.0000  0.5000  0.0000 x1  6 Ac 3.19-3.26
Se  0.5000  0.0000  0.0000 x1  6 Ac 3.35-3.46

(8)
The following is a DFT calculation (PBE-GGA) of an optimized crystal structure of Cs2AgGe2.

Values from the calculation:
- E: -26.0 eV per cell
- ΔE_f: 0.16 eV/atom
- D(E_F): 4.38 states/eV per cell
- V: 348.2 Å³/cell

Cell: 7.7265 7.7265 5.8318 Å, 90.00 90.00 90.00°
With the nearest neighbours (Å) after each atom.
Space group P4/mbm (No. 127)
Symmetry-distinct sites (fractional):
Cs  0.2004  0.2996  0.0000 x4  6 Ge 3.58-3.84, 4 Cs 3.94
Ag  0.0000  0.0000  0.5000 x2  4 Ge 3.13
Ge  0.1093  0.6093  0.5000 x4  1 Ge 2.39

(9)
The following is a DFT calculation (PBE-GGA) of an optimized crystal structure of BiOsCl2.

Values from the calculation:
- E: -57.8 eV per cell
- Energy relative to the elements, uncorrected: 4.352 eV per formula unit
- D(E_F): 15.81 states/eV per cell
- V: 338.5 Å³/cell
- Energy relative to the lowest polymorph listed for this composition: 737.5 meV/atom

Cell: 6.9691 6.9691 6.9691 Å, 90.00 90.00 90.00°
With the nearest neighbours (Å) after each atom.
Space group Fm-3m (No. 225)
Symmetry-distinct sites (fractional):
Bi  0.0000  0.0000  0.0000 x4  8 Cl 3.02
Os  0.0000  0.0000  0.5000 x4  8 Cl 3.02
Cl  0.2500  0.2500  0.2500 x8  4 Bi 3.02, 4 Os 3.02

(10)
The following is a DFT calculation (PBE-GGA) of an optimized crystal structure of BaTcP2S.

Values from the calculation:
- E: -18.1 eV per cell
- Energy relative to the elements, uncorrected: 9.118 eV per formula unit
- D(E_F): 4.57 states/eV per cell
- V: 168.0 Å³/cell
- Energy relative to the lowest polymorph listed for this composition: 2326.7 meV/atom

Cell: 5.4777 5.4777 5.5989 Å, 90.00 90.00 90.00°
With the nearest neighbours (Å) after each atom.
Space group P4/mmm (No. 123)
Symmetry-distinct sites (fractional):
Ba  0.0000  0.0000  0.0000 x1  4 P 2.74, 2 S 2.80
Tc  0.5000  0.5000  0.5000 x1  4 S 3.87, 8 P 3.92
P  0.0000  0.5000  0.0000 x2  2 Ba 2.74
S  0.0000  0.0000  0.5000 x1  2 Ba 2.80

(11)
The following is a DFT calculation (PBE-GGA) of an optimized crystal structure of RbOsI3.

Values from the calculation:
- E: -10.1 eV per cell
- Energy relative to the elements, uncorrected: 6.775 eV per formula unit
- D(E_F): 13.86 states/eV per cell
- V: 307.2 Å³/cell
- Energy relative to the lowest polymorph listed for this composition: 1370.4 meV/atom

Cell: 6.7477 6.7477 6.7477 Å, 90.00 90.00 90.00°
With the nearest neighbours (Å) after each atom.
Space group Pm-3m (No. 221)
Symmetry-distinct sites (fractional):
Rb  0.0000  0.0000  0.0000 x1  6 I 3.37
Os  0.5000  0.5000  0.5000 x1  12 I 4.77
I  0.0000  0.0000  0.5000 x3  2 Rb 3.37

(12)
The following is a DFT calculation (PBE-GGA) of an optimized crystal structure of Sm2ErSi3Ni12.

Values from the calculation:
- E: -309.6 eV per cell
- Energy relative to the elements, uncorrected: -3.545 eV per formula unit
- D(E_F): 37.74 states/eV per cell
- V: 763.6 Å³/cell

Cell: 8.6184 8.6184 11.8708 Å, 90.00 90.00 120.00°
With the nearest neighbours (Å) after each atom.
Space group R-3m (No. 166, hexagonal axes)
Symmetry-distinct sites (fractional):
Sm  0.0000  0.0000  0.1528 x6  6 Ni 2.49-2.76
Er  0.0000  0.0000  0.5000 x3  6 Ni 2.51
Si  0.0000  0.5000  0.0000 x9  6 Ni 2.27-2.51
Ni  0.9997  0.4998  0.1914 x18  1 Si 2.27, 1 Ni 2.37, 1 Sm 2.49, 1 Er 2.51
Ni  0.0193  0.5096  0.3906 x18  2 Ni 2.37-2.61, 2 Si 2.51